A plane-wave DFT calculation with meta-GGA SCAN was carried out for a crystal of KZn3Au relaxed with PBEsol.

```
KZn3Au
1.0
5.862 0.000 0.000
0.000 5.862 0.000
0.000 0.000 5.862
Zn Au K
3 1 1
Direct
0.000 0.500 0.000 Zn
0.000 0.000 0.500 Zn
0.500 0.000 0.000 Zn
0.500 0.500 0.500 Au
0.000 0.000 0.000 K
```

Calculated values
Total energy = -22.527 eV/atom
Energy relative to the elements = 1.079 eV per atom